[1]
{
  "formula": "CsRbHgAs",
  "functional": "PBE",
  "state": "optimized geometry",
  "lattice_angstrom": [[8.685, 0.000, 0.000], [0.000, 8.685, 0.000], [0.000, 0.000, 8.685]],
  "species": ["Cs", "Cs", "Cs", "Cs", "Rb", "Rb", "Rb", "Rb", "Hg", "Hg", "Hg", "Hg", "As", "As", "As", "As"],
  "frac_coords": [[0.000, 0.000, 0.000], [0.000, 0.500, 0.500], [0.500, 0.000, 0.500], [0.500, 0.500, 0.000], [0.000, 0.000, 0.500], [0.000, 0.500, 0.000], [0.500, 0.000, 0.000], [0.500, 0.500, 0.500], [0.250, 0.250, 0.750], [0.250, 0.750, 0.250], [0.750, 0.250, 0.250], [0.750, 0.750, 0.750], [0.250, 0.250, 0.250], [0.250, 0.750, 0.750], [0.750, 0.250, 0.750], [0.750, 0.750, 0.250]],
  "e_above_lowest_polymorph_kj_per_mol_atoms": 12.8,
  "ef_ev_per_atom": -0.146,
  "sg": "F-43m"
}

[2]
{
  "formula": "CsHgAsRh",
  "functional": "PBE",
  "state": "optimized geometry",
  "lattice_angstrom": [[4.191, 0.000, 0.000], [0.000, 4.191, 0.000], [0.000, 0.000, 13.798]],
  "species": ["Cs", "Cs", "Hg", "Hg", "As", "As", "Rh", "Rh"],
  "frac_coords": [[0.250, 0.250, 0.248], [0.750, 0.750, 0.752], [0.250, 0.750, 0.000], [0.750, 0.250, 0.000], [0.250, 0.250, 0.595], [0.750, 0.750, 0.405], [0.250, 0.750, 0.500], [0.750, 0.250, 0.500]],
  "ef_ev_per_atom": -0.445,
  "sg": "P4/nmm"
}

[3]
{
  "formula": "CsHgAsS3",
  "functional": "PBE",
  "state": "optimized geometry",
  "lattice_angstrom": [[6.318, -4.169, 0.000], [6.318, 4.169, 0.000], [-3.648, 0.000, 7.638]],
  "species": ["Cs", "Cs", "Hg", "Hg", "As", "As", "S", "S", "S", "S", "S", "S"],
  "frac_coords": [[0.192, 0.192, 0.203], [0.808, 0.808, 0.797], [0.164, 0.836, 0.500], [0.836, 0.164, 0.500], [0.470, 0.470, 0.832], [0.530, 0.530, 0.168], [0.219, 0.659, 0.191], [0.284, 0.284, 0.685], [0.341, 0.781, 0.809], [0.659, 0.219, 0.191], [0.716, 0.716, 0.315], [0.781, 0.341, 0.809]],
  "raw_formation_energy_ev_per_atom": -0.418,
  "sg": "C2/m"
}

[4]
{
  "formula": "Cs2HgSbAs",
  "functional": "PBE",
  "state": "optimized geometry",
  "lattice_angstrom": [[7.108, 0.000, 0.000], [0.000, 7.108, 0.000], [0.000, 0.000, 5.246]],
  "species": ["Cs", "Cs", "Hg", "Sb", "As"],
  "frac_coords": [[0.000, 0.500, 0.000], [0.500, 0.000, 0.000], [0.000, 0.000, 0.500], [0.500, 0.500, 0.500], [0.500, 0.500, 0.000]],
  "raw_formation_energy_ev_per_atom": -0.163,
  "sg": "P4/mmm"
}

| no. | total magnetic moment (μB per cell) |
| --- | --- |
| 1 | 4.036 |
| 2 | 0.000 |
| 3 | 0.000 |
| 4 | 0.000 |